First-principles (PBE) data for a relaxed structure of CdSnPd6, as listed in Alexandria.

Geometry as POSCAR:
```
CdSnPd6
1.0
4.043 0.000 0.000
0.000 5.661 -0.638
0.000 0.636 5.661
Pd Sn Cd
6 1 1
direct
0.000 0.747 0.747
0.500 0.500 0.000
0.000 0.253 0.253
0.500 0.000 0.500
0.000 0.252 0.748
0.000 0.748 0.252
0.500 0.500 0.500
0.500 0.000 0.000
```

Output
Space-group type: No. 123
Calculated formation energy, eV per atom: -0.38
Calculated total energy, eV per cell: -39.1
Crystal system: tetragonal